A plane-wave DFT calculation with PBE+U was carried out for an optimized crystal structure of Sc2NiF.

extended XYZ file:
```
8
Lattice="-1.077 -0.455 5.193 1.451 -5.119 -0.147 5.050 -1.441 3.649" Properties=species:S:1:pos:R:3 pbc="T T T"
Sc 0.810 -1.268 3.949
Sc 1.995 -3.633 1.660
Sc 3.981 -3.359 4.624
Sc 4.061 -5.771 7.157
Ni 0.000 0.000 0.000
Ni 2.080 -2.342 5.682
F 0.187 -2.787 2.523
F 3.344 -4.674 3.012
```

Values from the calculation:
magnetic moment	0.00	μB per formula unit
polymorph energy (0 for the lowest one)	251	meV/atom
total DFT energy (no corrections)	-5.082	eV per atom